[1]
VASP calculation (PBE) on Li2MnTc after structural relaxation.

Geometry as POSCAR:
```
Li2MnTc
1.0
-0.827 -2.096 0.882
1.648 -1.199 -1.304
5.835 0.576 6.846
Mn Tc Li
1 1 2
Direct
0.500 0.500 0.250
0.500 0.500 0.750
0.000 0.000 0.496
0.000 0.000 0.004
```

Summary:
Space group: No. 123
Energy above the most stable polymorph in this dataset: 4.45 kcal/mol of atoms

[2]
VASP calculation (PBE) on Mg2MnGaOs after structural relaxation.

Geometry as POSCAR:
```
Mg2MnGaOs
1.0
-2.077 -2.016 -4.163
2.783 -3.350 0.234
-3.305 -2.544 2.881
Os Ga Mg Mn
1 1 2 1
Direct
0.000 0.500 0.000
0.500 0.500 0.500
0.500 0.000 0.000
0.000 0.000 0.500
0.000 0.000 0.000
```

Summary:
Space group: No. 123
Electronic total energy: -4.451 eV/atom

[3]
VASP calculation (PBE) on Hf2ZrGa3 after structural relaxation.

Geometry as POSCAR:
```
Hf2ZrGa3
1.0
-1.653 -3.630 -3.757
1.181 -4.757 4.076
-5.925 3.461 3.259
Ga Hf Zr
6 4 2
Direct
0.169 0.084 0.335
0.498 0.750 0.000
0.166 0.584 0.335
0.502 0.250 0.000
0.831 0.916 0.665
0.834 0.416 0.665
0.332 0.917 0.666
0.334 0.417 0.666
0.666 0.583 0.334
0.668 0.083 0.334
0.998 0.750 0.000
0.002 0.250 0.000
```

Summary:
Space group: No. 15
Electronic total energy: -6.541 eV/atom

[4]
VASP calculation (PBE) on Nb2Os3Ru2 after structural relaxation.

Geometry as POSCAR:
```
Nb2Os3Ru2
1.0
3.842 -0.002 1.160
-0.294 3.794 0.980
-0.308 0.402 7.965
Os Nb Ru
3 2 2
Direct
0.000 0.000 0.000
0.258 0.279 0.484
0.742 0.721 0.516
0.383 0.930 0.234
0.617 0.070 0.766
0.880 0.400 0.241
0.120 0.600 0.759
```

Summary:
Space group: No. 12
Electronic total energy: -10.105 eV/atom

[5]
VASP calculation (PBE) on TcTeS2 after structural relaxation.

Geometry as POSCAR:
```
TcTeS2
1.0
2.013 0.000 8.157
-1.007 1.743 8.157
-1.007 -1.743 8.157
S Tc Te
2 1 1
Direct
0.888 0.888 0.888
0.112 0.112 0.112
0.500 0.500 0.500
0.000 0.000 0.000
```

Summary:
Raw formation energy: -0.109 eV per atom
Space group: No. 166

[6]
VASP calculation (PBE) on Cd2PdBr4 after structural relaxation.

Geometry as POSCAR:
```
Cd2PdBr4
1.0
5.400 0.000 0.000
0.000 5.400 0.000
2.700 2.700 6.835
Cd Br Pd
2 4 1
Direct
0.388 0.388 0.224
0.612 0.612 0.776
0.000 0.500 0.000
0.201 0.201 0.598
0.799 0.799 0.402
0.500 0.000 0.000
0.000 0.000 0.000
```

Summary:
Raw formation energy: -0.358 eV per atom
Space group: No. 139

[7]
VASP calculation (PBE) on LaPmSiHg after structural relaxation.

Geometry as POSCAR:
```
LaPmSiHg
1.0
-0.647 -4.117 3.296
3.839 -3.641 0.488
2.836 -0.285 4.484
Pm Si Hg La
1 1 1 1
Direct
0.500 0.500 0.500
0.750 0.750 0.750
0.250 0.250 0.250
0.000 0.000 0.000
```

Summary:
Raw formation energy: -0.484 eV per atom
Space group: No. 216

[8]
VASP calculation (PBE) on Sr4Re after structural relaxation.

Geometry as POSCAR:
```
Sr4Re
1.0
-3.757 3.757 3.757
3.757 -3.757 3.757
3.757 3.757 -3.757
Sr Re
4 1
Direct
0.500 0.500 0.500
0.000 0.000 0.500
0.500 0.000 0.000
0.000 0.500 0.000
0.000 0.000 0.000
```

Summary:
Space group: No. 229
Energy above the most stable polymorph in this dataset: 3.12 kcal/mol of atoms

[9]
VASP calculation (PBE) on CaPt2 after structural relaxation.

Geometry as POSCAR:
```
CaPt2
1.0
5.503 0.011 0.000
3.142 4.519 0.000
-4.323 -2.265 2.544
Pt Ca
2 1
Direct
0.710 0.710 0.000
0.290 0.290 0.000
0.000 0.000 0.000
```

Summary:
Space group: No. 139
Electronic total energy: -5.195 eV/atom

[10]
VASP calculation (PBE) on Sb2TeIF after structural relaxation.

Geometry as POSCAR:
```
Sb2TeIF
1.0
5.843 0.000 0.000
0.000 5.843 0.000
0.000 0.000 5.957
Sb F Te I
2 1 1 1
Direct
0.000 0.500 0.000
0.500 0.000 0.000
0.500 0.500 0.500
0.000 0.000 0.000
0.000 0.000 0.500
```

Summary:
Raw formation energy: 0.492 eV per atom
Space group: No. 123
Energy above the most stable polymorph in this dataset: 9.77 kcal/mol of atoms